PBE ThAlCu3, optimized geometry; crystal system = orthorhombic; formation energy from the elements = -0.204 eV per atom
1.0
4.1973 0.0000 0.0000
0.0000 8.7859 0.0000
0.0000 0.0000 9.4211
Th Al Cu
4 4 12
direct
0.2500 0.1768 0.9783
0.2500 0.6768 0.5217
0.7500 0.8232 0.0217
0.7500 0.3232 0.4783
0.7500 0.9370 0.3881
0.2500 0.5630 0.8881
0.7500 0.4370 0.1119
0.2500 0.0630 0.6119
0.2500 0.8514 0.2444
0.7500 0.1486 0.7556
0.2500 0.5963 0.1507
0.2500 0.0963 0.3493
0.7500 0.9037 0.6507
0.2500 0.3514 0.2556
0.2500 0.3511 0.7001
0.7500 0.6486 0.7444
0.7500 0.1489 0.2001
0.2500 0.8511 0.7999
0.7500 0.6489 0.2999
0.7500 0.4037 0.8493